Entry 1:
Density functional theory data (GGA-PBE) for Sr2Cu2Bi after structural relaxation.

The density of states at the Fermi level comes out at 5.96 states/eV/cell. The calculation puts the formation energy at -188 meV/atom. The calculation puts the total energy at -32.758 eV for the cell shown.

It has space group I4/mmm (No. 139), with a = 3.707 Å, b = 3.707 Å, c = 19.716 Å, α = 90.00°, β = 90.00° and γ = 90.00°. Symmetry generates all atoms from Sr at (0.000, 0.000, 0.120), Cu at (0.000, 0.500, 0.250) and Bi at (0.000, 0.000, 0.500).

=====

Entry 2:
Density functional theory data (GGA-PBE) for SrCu2Bi2 after structural relaxation.

The density of states at the Fermi level comes out at 6.04 states/eV/cell. The calculation puts the formation energy at -107 meV/atom. The calculation puts the total energy at -36.347 eV for the cell shown.

It has space group P4/mbm (No. 127), with a = 8.029 Å, b = 8.029 Å, c = 3.751 Å, α = 90.00°, β = 90.00° and γ = 90.00°. Symmetry generates all atoms from Sr at (0.000, 0.000, 0.000), Cu at (0.110, 0.390, 0.000) and Bi at (0.175, 0.675, 0.500).

=====

Entry 3:
Density functional theory data (GGA-PBE) for Sr2Cu2Bi after structural relaxation.

The density of states at the Fermi level comes out at 5.87 states/eV/cell. The calculation puts the formation energy at -184 meV/atom. The calculation puts the total energy at -32.717 eV for the cell shown.

It has space group I4/mmm (No. 139), with a = 5.994 Å, b = 5.994 Å, c = 8.197 Å, α = 90.00°, β = 90.00° and γ = 90.00°. Symmetry generates all atoms from Sr at (0.000, 0.500, 0.250), Cu at (0.000, 0.000, 0.142) and Bi at (0.000, 0.000, 0.500).

=====

Entry 4:
Density functional theory data (GGA-PBE) for SrCuBi3 after structural relaxation.

The density of states at the Fermi level comes out at 3.20 states/eV/cell. The calculation puts the formation energy at -118 meV/atom. The calculation puts the total energy at -18.012 eV for the cell shown.

It has space group Pm-3m (No. 221), with a = 5.403 Å, b = 5.403 Å, c = 5.403 Å, α = 90.00°, β = 90.00° and γ = 90.00°. Symmetry generates all atoms from Sr at (0.000, 0.000, 0.000), Cu at (0.500, 0.500, 0.500) and Bi at (0.000, 0.500, 0.500).

=====

Entry 5:
Density functional theory data (GGA-PBE) for SrCu2Bi2 after structural relaxation.

The density of states at the Fermi level comes out at 5.71 states/eV/cell. The calculation puts the formation energy at -191 meV/atom. The calculation puts the total energy at -37.182 eV for the cell shown.

It has space group I4/mmm (No. 139), with a = 4.899 Å, b = 4.899 Å, c = 10.666 Å, α = 90.00°, β = 90.00° and γ = 90.00°. Symmetry generates all atoms from Sr at (0.000, 0.000, 0.000), Cu at (0.000, 0.000, 0.386) and Bi at (0.000, 0.500, 0.250).

=====

Entry 6:
Density functional theory data (GGA-PBE) for Sr2CuBi after structural relaxation.

The density of states at the Fermi level comes out at 0.00 states/eV/cell. The calculation puts the formation energy at -13 meV/atom. The calculation puts the total energy at -45.576 eV for the cell shown.

It has space group I-42d (No. 122), with a = 6.566 Å, b = 6.566 Å, c = 17.252 Å, α = 90.00°, β = 90.00° and γ = 90.00°. Symmetry generates all atoms from Sr at (0.234, 0.250, 0.125), Cu at (0.000, 0.000, 0.000) and Bi at (0.000, 0.000, 0.500).

=====

Entry 7:
Density functional theory data (GGA-PBE) for SrCu2Bi2 after structural relaxation.

The density of states at the Fermi level comes out at 5.47 states/eV/cell. The calculation puts the formation energy at 64 meV/atom. The calculation puts the total energy at -34.629 eV for the cell shown.

It has space group P4/mbm (No. 127), with a = 8.468 Å, b = 8.468 Å, c = 3.470 Å, α = 90.00°, β = 90.00° and γ = 90.00°. Symmetry generates all atoms from Sr at (0.000, 0.000, 0.000), Cu at (0.149, 0.351, 0.500) and Bi at (0.143, 0.643, 0.000).

=====

Entry 8:
Density functional theory data (GGA-PBE) for SrCu3Bi after structural relaxation.

The density of states at the Fermi level comes out at 3.03 states/eV/cell. The calculation puts the formation energy at 372 meV/atom. The calculation puts the total energy at -15.990 eV for the cell shown.

It has space group Pm-3m (No. 221), with a = 5.107 Å, b = 5.107 Å, c = 5.107 Å, α = 90.00°, β = 90.00° and γ = 90.00°. Symmetry generates all atoms from Sr at (0.000, 0.000, 0.000), Cu at (0.000, 0.500, 0.500) and Bi at (0.500, 0.500, 0.500).

=====

Entry 9:
Density functional theory data (GGA-PBE) for Sr2Cu2Bi after structural relaxation.

The density of states at the Fermi level comes out at 3.94 states/eV/cell. The calculation puts the formation energy at -301 meV/atom. The calculation puts the total energy at -33.888 eV for the cell shown.

It has space group P4/mbm (No. 127), with a = 7.711 Å, b = 7.711 Å, c = 4.539 Å, α = 90.00°, β = 90.00° and γ = 90.00°. Symmetry generates all atoms from Sr at (0.186, 0.314, 0.000), Cu at (0.110, 0.610, 0.500) and Bi at (0.000, 0.000, 0.500).

=====

Entry 10:
Density functional theory data (GGA-PBE) for Sr2CuBiTe after structural relaxation.

The density of states at the Fermi level comes out at 2.68 states/eV/cell. The calculation puts the total energy at -14.197 eV for the cell shown.

It has space group P4/mmm (No. 123), with a = 6.200 Å, b = 6.200 Å, c = 5.888 Å, α = 90.00°, β = 90.00° and γ = 90.00°. Symmetry generates all atoms from Sr at (0.000, 0.500, 0.000), Cu at (0.000, 0.000, 0.500), Bi at (0.500, 0.500, 0.500) and Te at (0.500, 0.500, 0.000).

=====

Entry 11:
Density functional theory data (GGA-PBE) for TaCuBi3 after structural relaxation.

The density of states at the Fermi level comes out at 4.41 states/eV/cell. The calculation puts the formation energy at 1077 meV/atom. The calculation puts the total energy at -22.206 eV for the cell shown.

It has space group Pm-3m (No. 221), with a = 5.172 Å, b = 5.172 Å, c = 5.172 Å, α = 90.00°, β = 90.00° and γ = 90.00°. Symmetry generates all atoms from Ta at (0.000, 0.000, 0.000), Cu at (0.500, 0.500, 0.500) and Bi at (0.000, 0.500, 0.500).

=====

Entry 12:
Density functional theory data (GGA-PBE) for TaCuBi2 after structural relaxation.

The density of states at the Fermi level comes out at 14.67 states/eV/cell. The calculation puts the formation energy at 699 meV/atom. The calculation puts the total energy at -83.651 eV for the cell shown.

It has space group Fm-3m (No. 225), with a = 7.106 Å, b = 7.106 Å, c = 7.106 Å, α = 90.00°, β = 90.00° and γ = 90.00°. Symmetry generates all atoms from Ta at (0.000, 0.000, 0.000), Cu at (0.000, 0.000, 0.500) and Bi at (0.250, 0.250, 0.250).

=====

Entry 13:
Density functional theory data (GGA-PBE) for TaCuBi3 after structural relaxation.

The density of states at the Fermi level comes out at 3.49 states/eV/cell. The calculation puts the formation energy at 839 meV/atom. The calculation puts the total energy at -23.397 eV for the cell shown.

It has space group Pm-3m (No. 221), with a = 5.472 Å, b = 5.472 Å, c = 5.472 Å, α = 90.00°, β = 90.00° and γ = 90.00°. Symmetry generates all atoms from Ta at (0.000, 0.000, 0.000), Cu at (0.500, 0.500, 0.500) and Bi at (0.000, 0.000, 0.500).